Record 1
Computed, not measured: an optimized crystal structure of ZrSc2Ru at the PBE-GGA level of DFT.

The structure in CIF format:
```
data_ZrSc2Ru
_cell_length_a 6.783
_cell_length_b 6.783
_cell_length_c 6.783
_cell_angle_alpha 90.00
_cell_angle_beta 90.00
_cell_angle_gamma 90.00
_space_group_name_H-M_alt 'F m -3 m'
_space_group_IT_number 225
_space_group_name_Hall '-F 4 2 3'
loop_
_atom_site_label
_atom_site_type_symbol
_atom_site_fract_x
_atom_site_fract_y
_atom_site_fract_z
Zr1 Zr 0.000 0.000 0.000
Sc1 Sc 0.250 0.250 0.250
Ru1 Ru 0.000 0.000 0.500
```

Values from the calculation:
Formation enthalpy at 0 K ... -0.0338 eV per atom
Volume ... 312.0 Å³ per cell
Electronic total energy ... -7.66 eV per atom
Total magnetic moment ... 1.8 μB per formula unit

***

Record 2
Computed, not measured: an optimized crystal structure of CeTcH4 at the PBE-GGA level of DFT.

The structure in CIF format:
```
data_CeTcH4
_cell_length_a 6.469
_cell_length_b 8.632
_cell_length_c 5.249
_cell_angle_alpha 90.00
_cell_angle_beta 126.11
_cell_angle_gamma 90.00
_space_group_name_H-M_alt 'C 1 2/c 1'
_space_group_IT_number 15
loop_
_space_group_symop_operation_xyz
'x,y,z'
'-x,-y,-z'
'-x,y,-z+1/2'
'x,-y,z+1/2'
'x+1/2,y+1/2,z'
'-x+1/2,-y+1/2,-z'
'-x+1/2,y+1/2,-z+1/2'
'x+1/2,-y+1/2,z+1/2'
loop_
_atom_site_label
_atom_site_type_symbol
_atom_site_fract_x
_atom_site_fract_y
_atom_site_fract_z
Ce1 Ce 0.000 0.160 0.250
Tc1 Tc 0.000 0.449 0.750
H1 H 0.144 0.287 0.727
H2 H 0.211 0.436 0.191
```

Values from the calculation:
Volume ... 236.8 Å³ per cell
Electronic total energy ... -5.13 eV per atom
Total magnetic moment ... 0.8 μB per formula unit

***

Record 3
Computed, not measured: an optimized crystal structure of LiMnSnS4 at the PBE-GGA level of DFT.

The structure in CIF format:
```
data_LiMnSnS4
_cell_length_a 7.052
_cell_length_b 7.491
_cell_length_c 10.474
_cell_angle_alpha 90.00
_cell_angle_beta 90.00
_cell_angle_gamma 90.00
_space_group_name_H-M_alt 'I m m a'
_space_group_IT_number 74
_space_group_name_Hall '-I 2b 2'
loop_
_atom_site_label
_atom_site_type_symbol
_atom_site_fract_x
_atom_site_fract_y
_atom_site_fract_z
Li1 Li 0.000 0.250 0.131
Mn1 Mn 0.250 0.250 0.750
Sn1 Sn 0.000 0.000 0.500
S1 S 0.000 0.035 0.747
S2 S 0.245 0.250 0.972
```

Values from the calculation:
Volume ... 553.3 Å³ per cell
Electronic total energy ... -5.19 eV per atom
Total magnetic moment ... 2.1 μB per formula unit
Formation energy from raw total energies ... -678 meV/atom

***

Record 4
Computed, not measured: an optimized crystal structure of Sr2Ga5Pt3 at the PBE-GGA level of DFT.

The structure in CIF format:
```
data_Sr2Ga5Pt3
_cell_length_a 4.451
_cell_length_b 25.778
_cell_length_c 6.972
_cell_angle_alpha 90.00
_cell_angle_beta 90.00
_cell_angle_gamma 90.00
_space_group_name_H-M_alt 'C m c 21'
_space_group_IT_number 36
loop_
_space_group_symop_operation_xyz
'x,y,z'
'-x,-y,z+1/2'
'-x,y,z'
'x,-y,z+1/2'
'x+1/2,y+1/2,z'
'-x+1/2,-y+1/2,z+1/2'
'-x+1/2,y+1/2,z'
'x+1/2,-y+1/2,z+1/2'
loop_
_atom_site_label
_atom_site_type_symbol
_atom_site_fract_x
_atom_site_fract_y
_atom_site_fract_z
Sr1 Sr 0.000 0.017 0.000
Sr2 Sr 0.000 0.322 0.970
Ga1 Ga 0.000 0.106 0.656
Ga2 Ga 0.000 0.207 0.159
Ga3 Ga 0.000 0.209 0.763
Ga4 Ga 0.000 0.374 0.503
Ga5 Ga 0.000 0.442 0.828
Pt1 Pt 0.000 0.109 0.258
Pt2 Pt 0.000 0.274 0.459
Pt3 Pt 0.000 0.440 0.212
```

Values from the calculation:
Formation enthalpy at 0 K ... -0.7063 eV per atom
Volume ... 800.0 Å³ per cell
Electronic total energy ... -4.37 eV per atom
Total magnetic moment ... 0.0 μB per formula unit

***

Record 5
Computed, not measured: an optimized crystal structure of KAlTc2 at the PBE-GGA level of DFT.

The structure in CIF format:
```
data_KAlTc2
_cell_length_a 4.644
_cell_length_b 4.644
_cell_length_c 18.665
_cell_angle_alpha 90.00
_cell_angle_beta 90.00
_cell_angle_gamma 90.00
_space_group_name_H-M_alt 'I -4 2 d'
_space_group_IT_number 122
_space_group_name_Hall 'I -4 2bw'
loop_
_atom_site_label
_atom_site_type_symbol
_atom_site_fract_x
_atom_site_fract_y
_atom_site_fract_z
K1 K 0.000 0.000 0.000
Al1 Al 0.000 0.000 0.500
Tc1 Tc 0.043 0.250 0.625
```

Values from the calculation:
Formation enthalpy at 0 K ... 1.1111 eV per atom
Volume ... 402.5 Å³ per cell
Electronic total energy ... -5.28 eV per atom
Total magnetic moment ... 0.0 μB per formula unit

***

Record 6
Computed, not measured: an optimized crystal structure of TmIn2AgTe4 at the PBE-GGA level of DFT.

The structure in CIF format:
```
data_TmIn2AgTe4
_cell_length_a 7.651
_cell_length_b 4.328
_cell_length_c 7.735
_cell_angle_alpha 90.00
_cell_angle_beta 108.92
_cell_angle_gamma 90.00
_space_group_name_H-M_alt 'P 1 2/m 1'
_space_group_IT_number 10
loop_
_space_group_symop_operation_xyz
'x,y,z'
'-x,-y,-z'
'-x,y,-z'
'x,-y,z'
loop_
_atom_site_label
_atom_site_type_symbol
_atom_site_fract_x
_atom_site_fract_y
_atom_site_fract_z
Tm1 Tm 0.000 0.000 0.000
In1 In 0.000 0.500 0.500
In2 In 0.500 0.000 0.500
Ag1 Ag 0.500 0.500 0.000
Te1 Te 0.241 0.500 0.235
Te2 Te 0.249 0.000 0.760
```

Values from the calculation:
Volume ... 242.3 Å³ per cell
Electronic total energy ... -3.69 eV per atom
Total magnetic moment ... 0.0 μB per formula unit
Formation energy from raw total energies ... -521 meV/atom

***

Record 7
Computed, not measured: an optimized crystal structure of Zr2CdAg at the PBE-GGA level of DFT.

The structure in CIF format:
```
data_Zr2CdAg
_cell_length_a 4.311
_cell_length_b 4.311
_cell_length_c 8.937
_cell_angle_alpha 90.00
_cell_angle_beta 90.00
_cell_angle_gamma 90.00
_space_group_name_H-M_alt 'I 4/m m m'
_space_group_IT_number 139
_space_group_name_Hall '-I 4 2'
loop_
_atom_site_label
_atom_site_type_symbol
_atom_site_fract_x
_atom_site_fract_y
_atom_site_fract_z
Zr1 Zr 0.000 0.500 0.250
Cd1 Cd 0.000 0.000 0.000
Ag1 Ag 0.000 0.000 0.500
```

Values from the calculation:
Formation enthalpy at 0 K ... -0.0566 eV per atom
Volume ... 166.1 Å³ per cell
Electronic total energy ... -5.27 eV per atom
Total magnetic moment ... 0.0 μB per formula unit

***

Record 8
Computed, not measured: an optimized crystal structure of Ag12SbAu2 at the PBE-GGA level of DFT.

The structure in CIF format:
```
data_Ag12SbAu2
_cell_length_a 5.643
_cell_length_b 5.643
_cell_length_c 20.139
_cell_angle_alpha 90.00
_cell_angle_beta 90.00
_cell_angle_gamma 90.00
_space_group_name_H-M_alt 'P 4/n b m'
_space_group_IT_number 125
loop_
_space_group_symop_operation_xyz
'x,y,z'
'-x,-y,-z'
'-y+1/2,x,z'
'y+1/2,-x,-z'
'-x+1/2,-y+1/2,z'
'x+1/2,y+1/2,-z'
'y,-x+1/2,z'
'-y,x+1/2,-z'
'x,-y+1/2,-z'
'-x,y+1/2,z'
'-y+1/2,-x+1/2,-z'
'y+1/2,x+1/2,z'
'-x+1/2,y,-z'
'x+1/2,-y,z'
'y,x,-z'
'-y,-x,z'
loop_
_atom_site_label
_atom_site_type_symbol
_atom_site_fract_x
_atom_site_fract_y
_atom_site_fract_z
Ag1 Ag 0.000 0.000 0.106
Ag2 Ag 0.076 0.576 0.438
Ag3 Ag 0.250 0.250 0.210
Ag4 Ag 0.250 0.250 0.343
Sb1 Sb 0.250 0.750 0.000
Au1 Au 0.250 0.750 0.218
```

Values from the calculation:
Volume ... 641.2 Å³ per cell
Electronic total energy ... -2.77 eV per atom
Total magnetic moment ... 0.0 μB per formula unit
Formation energy from raw total energies ... 224 meV/atom

***

Record 9
Computed, not measured: an optimized crystal structure of Pr4SmAg at the PBE-GGA level of DFT.

The structure in CIF format:
```
data_Pr4SmAg
_cell_length_a 5.537
_cell_length_b 21.896
_cell_length_c 6.637
_cell_angle_alpha 90.00
_cell_angle_beta 90.00
_cell_angle_gamma 90.00
_space_group_name_H-M_alt 'C m c 21'
_space_group_IT_number 36
loop_
_space_group_symop_operation_xyz
'x,y,z'
'-x,-y,z+1/2'
'-x,y,z'
'x,-y,z+1/2'
'x+1/2,y+1/2,z'
'-x+1/2,-y+1/2,z+1/2'
'-x+1/2,y+1/2,z'
'x+1/2,-y+1/2,z+1/2'
loop_
_atom_site_label
_atom_site_type_symbol
_atom_site_fract_x
_atom_site_fract_y
_atom_site_fract_z
Pr1 Pr 0.000 0.026 0.000
Pr2 Pr 0.000 0.164 0.803
Pr3 Pr 0.000 0.250 0.245
Pr4 Pr 0.000 0.435 0.155
Sm1 Sm 0.000 0.367 0.651
Ag1 Ag 0.000 0.113 0.372
```

Values from the calculation:
Formation enthalpy at 0 K ... 0.0346 eV per atom
Volume ... 804.7 Å³ per cell
Electronic total energy ... -4.41 eV per atom
Total magnetic moment ... 0.0 μB per formula unit

***

Record 10
Computed, not measured: an optimized crystal structure of Na3TiRh3S8 at the PBE-GGA level of DFT.

The structure in CIF format:
```
data_Na3TiRh3S8
_cell_length_a 7.1138
_cell_length_b 7.1138
_cell_length_c 19.7204
_cell_angle_alpha 90.00
_cell_angle_beta 90.00
_cell_angle_gamma 120.00
_space_group_name_H-M_alt 'R -3 m'
_space_group_IT_number 166
_space_group_name_Hall '-R 3 2"'
loop_
_atom_site_label
_atom_site_type_symbol
_atom_site_fract_x
_atom_site_fract_y
_atom_site_fract_z
Na1 Na 0.0000 0.5000 0.0000
Ti1 Ti 0.0000 0.0000 0.5000
Rh1 Rh 0.0000 0.5000 0.5000
S1 S 0.0000 0.0000 0.2284
S2 S 0.0058 0.5029 0.7670
```

Values from the calculation:
Volume ... 864.3 Å³ per cell
Electronic total energy ... -5.29 eV per atom
Total magnetic moment ... 0.0 μB per formula unit
Formation energy from raw total energies ... -827 meV/atom

***

Record 11
Computed, not measured: an optimized crystal structure of Sr2Cd2Ge at the PBE-GGA level of DFT.

The structure in CIF format:
```
data_Sr2Cd2Ge
_cell_length_a 6.440
_cell_length_b 6.440
_cell_length_c 8.221
_cell_angle_alpha 90.00
_cell_angle_beta 90.00
_cell_angle_gamma 90.00
_space_group_name_H-M_alt 'I 4/m m m'
_space_group_IT_number 139
_space_group_name_Hall '-I 4 2'
loop_
_atom_site_label
_atom_site_type_symbol
_atom_site_fract_x
_atom_site_fract_y
_atom_site_fract_z
Sr1 Sr 0.000 0.500 0.250
Cd1 Cd 0.000 0.000 0.165
Ge1 Ge 0.000 0.000 0.500
```

Values from the calculation:
Formation enthalpy at 0 K ... -0.0623 eV per atom
Volume ... 341.0 Å³ per cell
Electronic total energy ... -2.02 eV per atom
Total magnetic moment ... 0.0 μB per formula unit

***

Record 12
Computed, not measured: an optimized crystal structure of SrZrZnN3 at the PBE-GGA level of DFT.

The structure in CIF format:
```
data_SrZrZnN3
_cell_length_a 7.123
_cell_length_b 3.359
_cell_length_c 8.094
_cell_angle_alpha 90.00
_cell_angle_beta 99.36
_cell_angle_gamma 90.00
_space_group_name_H-M_alt 'P 1 21/m 1'
_space_group_IT_number 11
loop_
_space_group_symop_operation_xyz
'x,y,z'
'-x,-y,-z'
'-x,y+1/2,-z'
'x,-y+1/2,z'
loop_
_atom_site_label
_atom_site_type_symbol
_atom_site_fract_x
_atom_site_fract_y
_atom_site_fract_z
Sr1 Sr 0.169 0.250 0.214
Zr1 Zr 0.349 0.750 0.875
Zn1 Zn 0.133 0.250 0.598
N1 N 0.145 0.250 0.850
N2 N 0.177 0.750 0.481
N3 N 0.432 0.750 0.130
```

Values from the calculation:
Volume ... 191.1 Å³ per cell
Electronic total energy ... -6.69 eV per atom
Total magnetic moment ... 0.8 μB per formula unit
Formation energy from raw total energies ... -613 meV/atom